Entry 1:
ZnIn2CuBr (GGA-PBE, optimized geometry); total DFT energy (no corrections) = -2.62 eV/atom; formation energy (no corrections) = -116 meV/atom; crystal system = tetragonal
1.0
5.190 0.000 0.000
0.000 5.190 0.000
0.000 0.000 4.750
Zn In Cu Br
1 2 1 1
Cartesian
0.000 0.000 0.000 Zn
0.000 2.595 2.375 In
2.595 0.000 2.375 In
0.000 0.000 2.375 Cu
2.595 2.595 0.000 Br

---

Entry 2:
Cu2IrBr8 (GGA-PBE, optimized geometry); total DFT energy (no corrections) = -2.95 eV/atom; formation energy (no corrections) = -179 meV/atom; crystal system = monoclinic
1.0
7.247 -4.050 0.000
7.247 4.050 0.000
-1.656 0.000 5.994
Cu Ir Br
2 1 8
Cartesian
2.125 0.000 1.072 Cu
10.714 0.000 4.922 Cu
-0.828 0.000 2.997 Ir
5.107 2.343 4.255 Br
1.001 0.000 4.715 Br
7.732 2.343 1.739 Br
4.284 0.000 1.873 Br
8.555 0.000 4.121 Br
5.107 -2.343 4.255 Br
11.837 0.000 1.279 Br
7.732 -2.343 1.739 Br

---

Entry 3:
CuIr3Br (GGA-PBE, optimized geometry); total DFT energy (no corrections) = -4.50 eV/atom; formation energy (no corrections) = 1975 meV/atom; crystal system = cubic
1.0
4.590 0.000 0.000
0.000 4.590 0.000
0.000 0.000 4.590
Cu Ir Br
1 3 1
Cartesian
0.000 0.000 0.000 Cu
0.000 2.295 2.295 Ir
2.295 0.000 2.295 Ir
2.295 2.295 0.000 Ir
2.295 2.295 2.295 Br

---

Entry 4:
CuIr4Br (GGA-PBE, optimized geometry); total DFT energy (no corrections) = -5.79 eV/atom; formation energy (no corrections) = 1082 meV/atom; crystal system = cubic
1.0
0.000 3.710 3.710
3.710 0.000 3.710
3.710 3.710 0.000
Cu Ir Br
1 4 1
Cartesian
0.000 0.000 0.000 Cu
4.642 2.778 2.778 Ir
2.778 4.642 2.778 Ir
2.778 2.778 4.642 Ir
4.642 4.642 4.642 Ir
1.855 1.855 1.855 Br

---

Entry 5:
CuIr3Br (GGA-PBE, optimized geometry); total DFT energy (no corrections) = -4.51 eV/atom; formation energy (no corrections) = 1958 meV/atom; crystal system = cubic
1.0
4.601 0.000 0.000
0.000 4.601 0.000
0.000 0.000 4.601
Cu Ir Br
1 3 1
Cartesian
0.000 0.000 0.000 Cu
0.000 0.000 2.300 Ir
0.000 2.300 0.000 Ir
2.300 0.000 0.000 Ir
2.300 2.300 2.300 Br

---

Entry 6:
CuIrBr3 (GGA-PBE, optimized geometry); total DFT energy (no corrections) = -2.60 eV/atom; formation energy (no corrections) = 996 meV/atom; crystal system = cubic
1.0
4.965 0.000 0.000
0.000 4.965 0.000
0.000 0.000 4.965
Cu Ir Br
1 1 3
Cartesian
0.000 0.000 0.000 Cu
2.483 2.483 2.483 Ir
0.000 0.000 2.483 Br
0.000 2.483 0.000 Br
2.483 0.000 0.000 Br

---

Entry 7:
KCuIrBr6 (GGA-PBE, optimized geometry); total DFT energy (no corrections) = -3.24 eV/atom; formation energy (no corrections) = -565 meV/atom; crystal system = trigonal
1.0
6.699 0.000 0.000
-3.350 5.802 0.000
0.000 0.000 7.398
K Cu Ir Br
1 1 1 6
Cartesian
0.000 0.000 0.000 K
3.350 1.934 3.699 Cu
0.000 3.868 3.699 Ir
-1.157 2.159 5.121 Br
-2.058 3.721 2.277 Br
1.157 2.159 2.277 Br
-0.901 5.724 5.121 Br
2.058 3.721 5.121 Br
0.901 5.724 2.277 Br

---

Entry 8:
La4CuIrBr2 (GGA-PBE, optimized geometry); total DFT energy (no corrections) = -5.47 eV/atom; formation energy (no corrections) = -973 meV/atom; crystal system = monoclinic
1.0
7.284 0.000 0.000
0.000 4.290 0.000
-2.447 0.000 7.868
La Cu Ir Br
4 1 1 2
Cartesian
1.178 0.000 1.562 La
-0.107 2.145 6.297 La
4.944 2.145 1.571 La
3.659 0.000 6.307 La
3.642 0.000 0.000 Cu
0.000 2.145 0.000 Ir
-1.224 0.000 3.934 Br
2.419 2.145 3.934 Br